Density functional theory data (PBE-GGA) for crystalline BeTl2As at its relaxed geometry.

Output
DOS at the Fermi energy (states/eV/cell): 6.9
Formation energy from the elements (eV/atom): 0.611

CIF file:
```
data_BeTl2As
_symmetry_space_group_name_H-M 'F m -3 m'
_symmetry_Int_Tables_number 225
_symmetry_space_group_name_Hall '-F 4 2 3'
_cell_length_a 7.237
_cell_length_b 7.237
_cell_length_c 7.237
_cell_angle_alpha 90.00
_cell_angle_beta 90.00
_cell_angle_gamma 90.00
loop_
_atom_site_label
_atom_site_fract_x
_atom_site_fract_y
_atom_site_fract_z
Be1 0.000 0.000 0.000
Tl1 0.250 0.250 0.250
As1 0.000 0.000 0.500
```

Density functional theory data (PBE-GGA) for crystalline BeTlAs at its relaxed geometry.

Output
DOS at the Fermi energy (states/eV/cell): 5.1
Formation energy from the elements (eV/atom): 0.859

CIF file:
```
data_BeTlAs
_symmetry_space_group_name_H-M 'F -4 3 m'
_symmetry_Int_Tables_number 216
_symmetry_space_group_name_Hall 'F -4 2 3'
_cell_length_a 6.520
_cell_length_b 6.520
_cell_length_c 6.520
_cell_angle_alpha 90.00
_cell_angle_beta 90.00
_cell_angle_gamma 90.00
loop_
_atom_site_label
_atom_site_fract_x
_atom_site_fract_y
_atom_site_fract_z
Be1 0.000 0.000 0.000
Tl1 0.250 0.250 0.750
As1 0.000 0.000 0.500
```

Density functional theory data (PBE-GGA) for crystalline BeTl2As at its relaxed geometry.

Output
DOS at the Fermi energy (states/eV/cell): 0.8
Formation energy from the elements (eV/atom): 0.586

CIF file:
```
data_BeTl2As
_symmetry_space_group_name_H-M 'P 4/m m m'
_symmetry_Int_Tables_number 123
_symmetry_space_group_name_Hall '-P 4 2'
_cell_length_a 3.331
_cell_length_b 3.331
_cell_length_c 8.047
_cell_angle_alpha 90.00
_cell_angle_beta 90.00
_cell_angle_gamma 90.00
loop_
_atom_site_label
_atom_site_fract_x
_atom_site_fract_y
_atom_site_fract_z
Be1 0.000 0.000 0.000
Tl1 0.500 0.500 0.221
As1 0.000 0.000 0.500
```

Density functional theory data (PBE-GGA) for crystalline BeTl2As at its relaxed geometry.

Output
DOS at the Fermi energy (states/eV/cell): 3.4
Formation energy from the elements (eV/atom): 0.568

CIF file:
```
data_BeTl2As
_symmetry_space_group_name_H-M 'I m m m'
_symmetry_Int_Tables_number 71
_symmetry_space_group_name_Hall '-I 2 2'
_cell_length_a 4.139
_cell_length_b 5.533
_cell_length_c 7.993
_cell_angle_alpha 90.00
_cell_angle_beta 90.00
_cell_angle_gamma 90.00
loop_
_atom_site_label
_atom_site_fract_x
_atom_site_fract_y
_atom_site_fract_z
Be1 0.000 0.000 0.000
Tl1 0.000 0.500 0.278
As1 0.000 0.000 0.500
```

Density functional theory data (PBE-GGA) for crystalline BeTlAs at its relaxed geometry.

Output
DOS at the Fermi energy (states/eV/cell): 0.5
Formation energy from the elements (eV/atom): -0.011

CIF file:
```
data_BeTlAs
_symmetry_space_group_name_H-M 'P 1 21/m 1'
_symmetry_Int_Tables_number 11
_cell_length_a 5.805
_cell_length_b 3.829
_cell_length_c 7.032
_cell_angle_alpha 90.00
_cell_angle_beta 107.89
_cell_angle_gamma 90.00
loop_
_symmetry_equiv_pos_as_xyz
'x,y,z'
'-x,-y,-z'
'-x,y+1/2,-z'
'x,-y+1/2,z'
loop_
_atom_site_label
_atom_site_fract_x
_atom_site_fract_y
_atom_site_fract_z
Be1 0.079 0.250 0.073
Tl1 0.304 0.750 0.705
As1 0.224 0.750 0.222
```

Density functional theory data (PBE-GGA) for crystalline BeTlAs3 at its relaxed geometry.

Output
DOS at the Fermi energy (states/eV/cell): 5.4
Formation energy from the elements (eV/atom): 1.657

CIF file:
```
data_BeTlAs3
_symmetry_space_group_name_H-M 'P m -3 m'
_symmetry_Int_Tables_number 221
_symmetry_space_group_name_Hall '-P 4 2 3'
_cell_length_a 5.320
_cell_length_b 5.320
_cell_length_c 5.320
_cell_angle_alpha 90.00
_cell_angle_beta 90.00
_cell_angle_gamma 90.00
loop_
_atom_site_label
_atom_site_fract_x
_atom_site_fract_y
_atom_site_fract_z
Be1 0.000 0.000 0.000
Tl1 0.500 0.500 0.500
As1 0.000 0.500 0.500
```

Density functional theory data (PBE-GGA) for crystalline BeTlAs at its relaxed geometry.

Output
DOS at the Fermi energy (states/eV/cell): 5.1
Formation energy from the elements (eV/atom): 0.317

CIF file:
```
data_BeTlAs
_symmetry_space_group_name_H-M 'F m m 2'
_symmetry_Int_Tables_number 42
_symmetry_space_group_name_Hall 'F 2 -2'
_cell_length_a 3.885
_cell_length_b 5.358
_cell_length_c 12.664
_cell_angle_alpha 90.00
_cell_angle_beta 90.00
_cell_angle_gamma 90.00
loop_
_atom_site_label
_atom_site_fract_x
_atom_site_fract_y
_atom_site_fract_z
Be1 0.000 0.000 0.000
Tl1 0.000 0.000 0.689
As1 0.000 0.000 0.426
```

Density functional theory data (PBE-GGA) for crystalline BeTl2As at its relaxed geometry.

Output
DOS at the Fermi energy (states/eV/cell): 2.0
Formation energy from the elements (eV/atom): 0.231

CIF file:
```
data_BeTl2As
_symmetry_space_group_name_H-M 'P m m 2'
_symmetry_Int_Tables_number 25
_cell_length_a 3.305
_cell_length_b 3.427
_cell_length_c 8.407
_cell_angle_alpha 90.00
_cell_angle_beta 90.00
_cell_angle_gamma 90.00
loop_
_symmetry_equiv_pos_as_xyz
'x,y,z'
'-x,-y,z'
'-x,y,z'
'x,-y,z'
loop_
_atom_site_label
_atom_site_fract_x
_atom_site_fract_y
_atom_site_fract_z
Be1 0.000 0.000 0.000
Tl1 0.000 0.000 0.661
Tl2 0.500 0.500 0.327
As1 0.500 0.500 0.967
```

Density functional theory data (PBE-GGA) for crystalline BeTlAs at its relaxed geometry.

Output
DOS at the Fermi energy (states/eV/cell): 5.8
Formation energy from the elements (eV/atom): 0.108

CIF file:
```
data_BeTlAs
_symmetry_space_group_name_H-M 'I 4/m m m'
_symmetry_Int_Tables_number 139
_symmetry_space_group_name_Hall '-I 4 2'
_cell_length_a 3.519
_cell_length_b 3.519
_cell_length_c 20.378
_cell_angle_alpha 90.00
_cell_angle_beta 90.00
_cell_angle_gamma 90.00
loop_
_atom_site_label
_atom_site_fract_x
_atom_site_fract_y
_atom_site_fract_z
Be1 0.000 0.500 0.000
Tl1 0.000 0.000 0.183
As1 0.000 0.000 0.423
```

Density functional theory data (PBE-GGA) for crystalline BeTl2As at its relaxed geometry.

Output
DOS at the Fermi energy (states/eV/cell): 3.2
Formation energy from the elements (eV/atom): 0.609

CIF file:
```
data_BeTl2As
_symmetry_space_group_name_H-M 'I -4 m 2'
_symmetry_Int_Tables_number 119
_symmetry_space_group_name_Hall 'I -4 -2'
_cell_length_a 4.760
_cell_length_b 4.760
_cell_length_c 8.245
_cell_angle_alpha 90.00
_cell_angle_beta 90.00
_cell_angle_gamma 90.00
loop_
_atom_site_label
_atom_site_fract_x
_atom_site_fract_y
_atom_site_fract_z
Be1 0.000 0.000 0.000
Tl1 0.000 0.000 0.500
Tl2 0.000 0.500 0.750
As1 0.000 0.500 0.250
```

Density functional theory data (PBE-GGA) for crystalline BeTl2As at its relaxed geometry.

Output
DOS at the Fermi energy (states/eV/cell): 8.0
Formation energy from the elements (eV/atom): 0.567

CIF file:
```
data_BeTl2As
_symmetry_space_group_name_H-M 'I -4 2 d'
_symmetry_Int_Tables_number 122
_symmetry_space_group_name_Hall 'I -4 2bw'
_cell_length_a 6.465
_cell_length_b 6.465
_cell_length_c 10.643
_cell_angle_alpha 90.00
_cell_angle_beta 90.00
_cell_angle_gamma 90.00
loop_
_atom_site_label
_atom_site_fract_x
_atom_site_fract_y
_atom_site_fract_z
Be1 0.000 0.000 0.000
Tl1 0.220 0.250 0.125
As1 0.000 0.000 0.500
```

Density functional theory data (PBE-GGA) for crystalline BeTlAs3 at its relaxed geometry.

Output
DOS at the Fermi energy (states/eV/cell): 3.0
Formation energy from the elements (eV/atom): 0.455

CIF file:
```
data_BeTlAs3
_symmetry_space_group_name_H-M 'P m -3 m'
_symmetry_Int_Tables_number 221
_symmetry_space_group_name_Hall '-P 4 2 3'
_cell_length_a 4.684
_cell_length_b 4.684
_cell_length_c 4.684
_cell_angle_alpha 90.00
_cell_angle_beta 90.00
_cell_angle_gamma 90.00
loop_
_atom_site_label
_atom_site_fract_x
_atom_site_fract_y
_atom_site_fract_z
Be1 0.000 0.000 0.000
Tl1 0.500 0.500 0.500
As1 0.000 0.000 0.500
```